(1)
12
Lattice="-0.805 3.723 4.530 -3.688 -4.565 -0.770 3.166 -3.079 3.094" Properties=species:S:1:pos:R:3 comment="NaHoPa2O8 PBE relaxed" e_form_raw_ev_per_atom=-2.43 vol_a3_per_atom=13.63 e_tot_ev_per_atom=-7.81 dos_ef_per_ev_atom=0.52 pbc="T T T"
Na 0.000 0.000 0.000
Ho 1.583 -1.540 1.547
Pa -1.535 0.737 2.988
Pa 0.209 -4.657 3.865
O -0.635 -1.962 6.293
O 1.213 -2.544 3.822
O 1.800 -0.078 5.675
O -0.692 -1.959 0.561
O -2.539 -1.377 3.032
O -3.127 -3.842 1.179
O -0.390 -0.378 4.108
O -0.937 -3.543 2.746

---

(2)
15
Lattice="6.813 0.000 0.000 -3.407 5.901 -0.020 0.000 -3.915 5.624" Properties=species:S:1:pos:R:3 comment="Na3Ho3PbO8 PBE relaxed" e_form_raw_ev_per_atom=-2.42 vol_a3_per_atom=15.04 e_tot_ev_per_atom=-6.49 dos_ef_per_ev_atom=0.00 pbc="T T T"
Na 0.000 0.000 0.000
Na -1.703 2.950 -0.010
Na 1.703 2.950 -0.010
Ho 3.406 -1.957 2.812
Ho 1.703 0.993 2.802
Ho -1.704 0.993 2.802
Pb 0.000 -1.957 2.812
O 0.000 1.973 1.664
O 3.407 0.014 3.939
O 3.406 2.037 1.638
O 0.000 -0.051 3.966
O 5.166 -1.010 1.648
O -1.759 2.996 3.955
O 1.647 -1.010 1.648
O 1.759 2.996 3.955

---

(3)
12
Lattice="5.956 0.002 -0.003 -2.975 5.160 -0.003 -0.998 -1.727 5.638" Properties=species:S:1:pos:R:3 comment="Na3Ho2PbO6 PBE relaxed" e_form_raw_ev_per_atom=-2.24 vol_a3_per_atom=14.44 e_tot_ev_per_atom=-6.13 dos_ef_per_ev_atom=0.38 pbc="T T T"
Na -2.007 3.450 2.816
Na 3.991 -0.015 2.816
Na 0.992 1.718 2.816
Ho 0.001 3.441 -0.003
Ho 2.980 1.721 -0.003
Pb 0.000 0.000 0.000
O 3.022 1.630 4.408
O 1.937 3.354 1.233
O -1.039 1.805 1.224
O -0.098 3.433 4.408
O 0.047 0.081 4.398
O 2.082 0.002 1.224

---

(4)
8
Lattice="-1.594 2.033 2.305 -4.061 1.498 -4.130 -1.880 -4.852 2.979" Properties=species:S:1:pos:R:3 comment="Na2HoPbO4 PBE relaxed" e_form_raw_ev_per_atom=-1.97 vol_a3_per_atom=14.64 e_tot_ev_per_atom=-5.81 dos_ef_per_ev_atom=0.35 pbc="T T T"
Na -1.737 -1.410 2.642
Na -2.971 -1.677 -0.576
Ho -2.828 1.766 -0.912
Pb 0.000 0.000 0.000
O -2.247 0.308 0.774
O -5.288 -1.629 0.380
O -2.595 -3.393 1.198
O -3.346 0.040 -2.349

---

Please write out number 1 again, unchanged.
12
Lattice="-0.805 3.723 4.530 -3.688 -4.565 -0.770 3.166 -3.079 3.094" Properties=species:S:1:pos:R:3 comment="NaHoPa2O8 PBE relaxed" e_form_raw_ev_per_atom=-2.43 vol_a3_per_atom=13.63 e_tot_ev_per_atom=-7.81 dos_ef_per_ev_atom=0.52 pbc="T T T"
Na 0.000 0.000 0.000
Ho 1.583 -1.540 1.547
Pa -1.535 0.737 2.988
Pa 0.209 -4.657 3.865
O -0.635 -1.962 6.293
O 1.213 -2.544 3.822
O 1.800 -0.078 5.675
O -0.692 -1.959 0.561
O -2.539 -1.377 3.032
O -3.127 -3.842 1.179
O -0.390 -0.378 4.108
O -0.937 -3.543 2.746